No. 1
Below is a relaxed structure of K3Np2CuSe6, with properties calculated at the GGA-PBE level.

Properties
Uncorrected formation energy: -12.34 eV/f.u.
Total magnetization: 0.500 μB/atom
DFT total energy: -66.5 eV for the cell shown

Lattice parameters (Å, degrees): 7.178 7.178 8.008 98.54 98.54 120.01
Element x y z (fractional)
K 0.000 0.000 0.000
K 0.336 0.664 0.000
K 0.664 0.336 0.000
Np 0.167 0.833 0.500
Np 0.833 0.167 0.500
Cu 0.500 0.500 0.500
Se 0.101 0.434 0.301
Se 0.234 0.234 0.698
Se 0.434 0.101 0.301
Se 0.566 0.899 0.699
Se 0.766 0.766 0.302
Se 0.899 0.566 0.699

No. 2
Below is a relaxed structure of K2NpCuSe4, with properties calculated at the GGA-PBE level.

Properties
Uncorrected formation energy: -6.69 eV/f.u.
Total magnetization: 0.304 μB/atom
DFT total energy: -79.7 eV for the cell shown

Lattice parameters (Å, degrees): 8.674 8.674 8.674 122.86 121.17 86.55
Element x y z (fractional)
K 0.000 0.000 0.000
K 0.500 0.000 0.000
K 0.500 0.000 0.500
K 0.500 0.500 0.500
Np 0.000 0.500 0.500
Np 0.500 0.500 0.000
Cu 0.000 0.000 0.500
Cu 0.000 0.500 0.000
Se 0.164 0.723 0.441
Se 0.218 0.277 0.941
Se 0.253 0.285 0.532
Se 0.253 0.721 0.968
Se 0.747 0.279 0.032
Se 0.747 0.715 0.468
Se 0.782 0.723 0.059
Se 0.836 0.277 0.559

No. 3
Below is a relaxed structure of KNp2CuTe4, with properties calculated at the GGA-PBE level.

Properties
Uncorrected formation energy: -5.39 eV/f.u.
Total magnetization: 1.000 μB/atom
DFT total energy: -98.1 eV for the cell shown

Lattice parameters (Å, degrees): 7.919 7.919 15.411 90.00 90.00 147.73
Element x y z (fractional)
K 0.112 0.888 0.750
K 0.888 0.112 0.250
Np 0.366 0.634 0.562
Np 0.366 0.634 0.938
Np 0.634 0.366 0.062
Np 0.634 0.366 0.438
Cu 0.160 0.840 0.250
Cu 0.840 0.160 0.750
Te 0.000 0.000 0.000
Te 0.000 0.000 0.500
Te 0.267 0.733 0.115
Te 0.267 0.733 0.385
Te 0.435 0.565 0.750
Te 0.565 0.435 0.250
Te 0.733 0.267 0.615
Te 0.733 0.267 0.885

No. 4
Below is a relaxed structure of K3Np2CuTe6, with properties calculated at the GGA-PBE level.

Properties
Uncorrected formation energy: -8.33 eV/f.u.
Total magnetization: 0.497 μB/atom
DFT total energy: -60.4 eV for the cell shown

Lattice parameters (Å, degrees): 7.681 7.681 8.559 98.64 98.64 119.89
Element x y z (fractional)
K 0.000 0.000 0.000
K 0.332 0.668 0.000
K 0.668 0.332 0.000
Np 0.167 0.833 0.500
Np 0.833 0.167 0.500
Cu 0.500 0.500 0.500
Te 0.111 0.434 0.301
Te 0.242 0.242 0.700
Te 0.434 0.111 0.301
Te 0.566 0.889 0.699
Te 0.758 0.758 0.300
Te 0.889 0.566 0.699